A plane-wave DFT calculation with PBE-GGA was carried out for a geometry-optimized FeHIN2 structure.

Calculated values
magnetization: 1.78 Bohr magnetons per cell
offset from the most stable computed form: 27.77 kcal/mol of atoms
V: 58.1 Å³/cell
D(E_F): 0.881 states/eV/atom

Cell lengths 4.0601, 4.0601, 3.5223 Å; angles 90.00, 90.00, 90.00 degrees
Element x y z (fractional)
Fe1 0.0000 0.0000 0.0000
H1 0.5000 0.5000 0.5000
I1 0.5000 0.5000 0.0000
N1 0.0000 0.5000 0.5000
N2 0.5000 0.0000 0.5000


A plane-wave DFT calculation with PBE-GGA was carried out for a geometry-optimized FeHIN2 structure.

Calculated values
magnetization: 0.00 Bohr magnetons per cell
offset from the most stable computed form: 0.00 kcal/mol of atoms
V: 70.5 Å³/cell
D(E_F): 0.835 states/eV/atom

Cell lengths 3.5203, 3.5203, 5.6863 Å; angles 90.00, 90.00, 90.00 degrees
Element x y z (fractional)
Fe1 0.0000 0.0000 0.0000
H1 0.5000 0.5000 0.5000
I1 0.0000 0.0000 0.5000
N1 0.0000 0.5000 0.0000
N2 0.5000 0.0000 0.0000


A plane-wave DFT calculation with PBE-GGA was carried out for a geometry-optimized FeHIN2 structure.

Calculated values
magnetization: 0.38 Bohr magnetons per cell
offset from the most stable computed form: 2.78 kcal/mol of atoms
V: 52.0 Å³/cell
D(E_F): 0.786 states/eV/atom

Cell lengths 3.8942, 3.8942, 3.4274 Å; angles 90.00, 90.00, 90.00 degrees
Element x y z (fractional)
Fe1 0.0000 0.0000 0.0000
H1 0.0000 0.0000 0.5000
I1 0.5000 0.5000 0.5000
N1 0.0000 0.5000 0.0000
N2 0.5000 0.0000 0.0000


A plane-wave DFT calculation with PBE-GGA was carried out for a geometry-optimized Fe2HPbI structure.

Calculated values
electronic total energy: -3.564 eV/atom
magnetization: 7.79 Bohr magnetons per cell
V: 174.7 Å³/cell
D(E_F): 1.202 states/eV/atom

Cell lengths 5.2086, 5.2086, 6.4404 Å; angles 90.00, 90.00, 90.00 degrees
Element x y z (fractional)
Fe1 0.0000 0.5000 0.0000
Fe2 0.5000 0.0000 0.0000
H1 0.0000 0.0000 0.5000
Pb1 0.5000 0.5000 0.0000
I1 0.5000 0.5000 0.5000


A plane-wave DFT calculation with PBE-GGA was carried out for a geometry-optimized FeSbHI2 structure.

Calculated values
magnetization: 3.96 Bohr magnetons per cell
offset from the most stable computed form: 0.57 kcal/mol of atoms
V: 145.2 Å³/cell
D(E_F): 1.000 states/eV/atom

Cell lengths 6.0477, 6.0477, 3.9691 Å; angles 90.00, 90.00, 90.00 degrees
Element x y z (fractional)
Fe1 0.0000 0.0000 0.0000
Sb1 0.5000 0.5000 0.5000
H1 0.5000 0.5000 0.0000
I1 0.0000 0.5000 0.5000
I2 0.5000 0.0000 0.5000


A plane-wave DFT calculation with PBE-GGA was carried out for a geometry-optimized FeSbHI2 structure.

Calculated values
magnetization: 1.19 Bohr magnetons per cell
offset from the most stable computed form: 0.00 kcal/mol of atoms
V: 155.4 Å³/cell
D(E_F): 0.747 states/eV/atom

Cell lengths 5.6460, 5.6460, 4.8748 Å; angles 90.00, 90.00, 90.00 degrees
Element x y z (fractional)
Fe1 0.0000 0.0000 0.0000
Sb1 0.0000 0.0000 0.5000
H1 0.5000 0.5000 0.5000
I1 0.0000 0.5000 0.0000
I2 0.5000 0.0000 0.0000


A plane-wave DFT calculation with PBE-GGA was carried out for a geometry-optimized FeSbHI2 structure.

Calculated values
magnetization: 3.50 Bohr magnetons per cell
offset from the most stable computed form: 1.66 kcal/mol of atoms
V: 118.5 Å³/cell
D(E_F): 0.719 states/eV/atom

Cell lengths 5.5327, 5.5327, 3.8723 Å; angles 90.00, 90.00, 90.00 degrees
Element x y z (fractional)
Fe1 0.0000 0.0000 0.0000
Sb1 0.5000 0.5000 0.0000
H1 0.5000 0.5000 0.5000
I1 0.0000 0.5000 0.5000
I2 0.5000 0.0000 0.5000


A plane-wave DFT calculation with PBE-GGA was carried out for a geometry-optimized FeTe2HI structure.

Calculated values
magnetization: 1.06 Bohr magnetons per cell
offset from the most stable computed form: 1.34 kcal/mol of atoms
V: 139.4 Å³/cell
D(E_F): 0.864 states/eV/atom

Cell lengths 4.9040, 4.9040, 5.7969 Å; angles 90.00, 90.00, 90.00 degrees
Element x y z (fractional)
Fe1 0.0000 0.0000 0.0000
Te1 0.0000 0.5000 0.0000
Te2 0.5000 0.0000 0.0000
H1 0.5000 0.5000 0.5000
I1 0.0000 0.0000 0.5000